First-principles (PBE-GGA) data for crystalline SrSiPb2 at its relaxed geometry, as listed in Alexandria.

SG: Pm (6)
Volume (Å³ per atom): 30.87
DOS(E_F) (states/eV/atom): 0.52
E (eV/f.u.): -15.0
Formation energy without anion corrections (eV/atom): -0.131

Unit cell a=4.2233 b=5.0641 c=6.2832 alpha=66.74 beta=90.00 gamma=90.00
Last column: nearest neighbours and their distance in Å.
Sites, in units of the cell vectors:
Pb (0.0000, 0.0302, 0.0531)  1 Si 2.83
Pb (0.5000, 0.4435, 0.2331)  2 Si 2.85
Si (0.0000, 0.2865, 0.5634)  3 Pb 2.83-2.85
Sr (0.5000, 0.7397, 0.6503)  4 Si 3.32-3.35, 3 Pb 3.36-3.50

=====

First-principles (PBE-GGA) data for crystalline SrSi3Pb at its relaxed geometry, as listed in Alexandria.

SG: Pm-3m (221)
Volume (Å³ per atom): 30.63
DOS(E_F) (states/eV/atom): 0.81
E above lowest polymorph (meV/atom): 0
E (eV/f.u.): -17.3
Formation energy without anion corrections (eV/atom): 0.864

Unit cell a=5.3503 b=5.3503 c=5.3503 alpha=90.00 beta=90.00 gamma=90.00
Last column: nearest neighbours and their distance in Å.
Sites, in units of the cell vectors:
Si (0.0000, 0.0000, 0.5000)  2 Pb 2.68
Si (0.5000, 0.0000, 0.0000)  2 Pb 2.68
Si (0.0000, 0.5000, 0.0000)  2 Pb 2.68
Pb (0.0000, 0.0000, 0.0000)  6 Si 2.68
Sr (0.5000, 0.5000, 0.5000)  12 Si 3.78

=====

First-principles (PBE-GGA) data for crystalline SrSiPb2 at its relaxed geometry, as listed in Alexandria.

SG: P4/mmm (123)
Volume (Å³ per atom): 28.06
DOS(E_F) (states/eV/atom): 0.47
E (eV/f.u.): -14.9
Formation energy without anion corrections (eV/atom): -0.084

Unit cell a=4.8060 b=4.8060 c=4.8588 alpha=90.00 beta=90.00 gamma=90.01
Last column: nearest neighbours and their distance in Å.
Sites, in units of the cell vectors:
Pb (0.5000, 0.5000, 0.0000)  4 Pb 3.40, 4 Sr 3.42, 4 Si 3.42
Pb (0.0000, 0.0000, 0.0000)  4 Pb 3.40, 4 Si 3.42, 4 Sr 3.42
Sr (0.0000, 0.5000, 0.5000)  4 Si 3.40, 8 Pb 3.42
Si (0.5000, 0.0000, 0.5000)  4 Sr 3.40, 8 Pb 3.42

=====

First-principles (PBE-GGA) data for crystalline SrSi4Pb at its relaxed geometry, as listed in Alexandria.

SG: F-43m (216)
Volume (Å³ per atom): 21.45
DOS(E_F) (states/eV/atom): 0.22
E (eV/f.u.): -26.3
Formation energy without anion corrections (eV/atom): 0.133

Unit cell a=5.6673 b=5.6673 c=5.6673 alpha=60.00 beta=60.00 gamma=60.00
Last column: nearest neighbours and their distance in Å.
Sites, in units of the cell vectors:
Si (0.3621, 0.3621, 0.9137)  3 Si 2.54
Si (0.9137, 0.3621, 0.3621)  3 Si 2.54
Si (0.3621, 0.9137, 0.3621)  3 Si 2.54
Si (0.3621, 0.3621, 0.3621)  3 Si 2.54
Sr (0.7500, 0.7500, 0.7500)  12 Si 3.36, 4 Pb 3.47
Pb (0.0000, 0.0000, 0.0000)  12 Si 3.30, 4 Sr 3.47

=====

First-principles (PBE-GGA) data for crystalline SrSi2Pb at its relaxed geometry, as listed in Alexandria.

SG: Imm2 (44)
Volume (Å³ per atom): 26.29
DOS(E_F) (states/eV/atom): 0.40
E (eV/f.u.): -16.7
Formation energy without anion corrections (eV/atom): -0.106

Unit cell a=6.4509 b=6.4509 c=6.4509 alpha=145.69 beta=135.52 gamma=57.35
Last column: nearest neighbours and their distance in Å.
Sites, in units of the cell vectors:
Pb (0.2628, 0.7628, 0.5000)  6 Si 3.02-3.10
Sr (0.5340, 0.5340, 0.0000)  8 Si 3.36-3.74, 4 Pb 3.56-3.61
Si (0.7836, 0.2836, 0.5000)  2 Si 2.45
Si (0.9195, 0.9195, 0.0000)  2 Si 2.45

=====

First-principles (PBE-GGA) data for crystalline SrSi2Pb at its relaxed geometry, as listed in Alexandria.

SG: Pmmm (47)
Volume (Å³ per atom): 29.83
DOS(E_F) (states/eV/atom): 0.46
E (eV/f.u.): -16.0
Formation energy without anion corrections (eV/atom): 0.057

Unit cell a=4.4084 b=4.4530 c=6.0782 alpha=90.04 beta=90.00 gamma=90.00
Last column: nearest neighbours and their distance in Å.
Sites, in units of the cell vectors:
Sr (0.5000, 0.2500, 0.2500)  8 Si 3.33
Si (0.0000, 0.7495, 0.0660)  1 Si 2.24
Si (0.0000, 0.7505, 0.4340)  1 Si 2.24
Pb (0.5000, 0.7500, 0.7500)  4 Si 2.92

=====

First-principles (PBE-GGA) data for crystalline Sr2SiPb at its relaxed geometry, as listed in Alexandria.

SG: Amm2 (38)
Volume (Å³ per atom): 32.53
DOS(E_F) (states/eV/atom): 0.38
E above lowest polymorph (meV/atom): 0
E (eV/f.u.): -14.2
Formation energy without anion corrections (eV/atom): -0.435

Unit cell a=4.4073 b=4.9855 c=6.4249 alpha=67.19 beta=90.00 gamma=90.00
Last column: nearest neighbours and their distance in Å.
Sites, in units of the cell vectors:
Pb (0.0000, 0.6976, 0.4791)  2 Si 2.85
Si (0.5000, 0.5462, 0.7835)  2 Pb 2.85
Sr (0.5000, 0.2653, 0.3435)  3 Si 3.32-3.61, 4 Pb 3.42
Sr (0.0000, 0.9909, 0.8939)  4 Si 3.39, 3 Pb 3.47-3.50

=====

First-principles (PBE-GGA) data for crystalline SrSi2Pb at its relaxed geometry, as listed in Alexandria.

SG: I4/mmm (139)
Volume (Å³ per atom): 24.61
DOS(E_F) (states/eV/atom): 0.55
E (eV/f.u.): -15.6
Formation energy without anion corrections (eV/atom): 0.169

Unit cell a=5.6506 b=5.6506 c=5.6506 alpha=131.72 beta=131.72 gamma=70.66
Last column: nearest neighbours and their distance in Å.
Sites, in units of the cell vectors:
Pb (0.2500, 0.7500, 0.5000)  8 Si 3.26, 4 Sr 3.27
Sr (0.7500, 0.2500, 0.5000)  8 Si 3.26, 4 Pb 3.27
Si (0.0000, 0.0000, 0.0000)  4 Pb 3.26, 4 Sr 3.26, 4 Si 3.27
Si (0.5000, 0.5000, 0.0000)  4 Pb 3.26, 4 Sr 3.26, 4 Si 3.27

=====

First-principles (PBE-GGA) data for crystalline SrSi2Pb at its relaxed geometry, as listed in Alexandria.

SG: Pm (6)
Volume (Å³ per atom): 26.76
DOS(E_F) (states/eV/atom): 0.31
E (eV/f.u.): -16.7
Formation energy without anion corrections (eV/atom): -0.106

Unit cell a=3.9453 b=4.7206 c=6.1608 alpha=68.86 beta=90.00 gamma=90.00
Last column: nearest neighbours and their distance in Å.
Sites, in units of the cell vectors:
Pb (0.5000, 0.7723, 0.8656)  5 Si 2.98-3.15
Si (0.5000, 0.0428, 0.2349)  2 Si 2.46
Si (0.0000, 0.2156, 0.9823)  2 Si 2.46
Sr (0.0000, 0.4694, 0.4173)  7 Si 3.21-3.58

=====

First-principles (PBE-GGA) data for crystalline Sr2SiPb at its relaxed geometry, as listed in Alexandria.

SG: Pmmm (47)
Volume (Å³ per atom): 30.53
DOS(E_F) (states/eV/atom): 0.29
E above lowest polymorph (meV/atom): 119
E (eV/f.u.): -13.8
Formation energy without anion corrections (eV/atom): -0.316

Unit cell a=3.6810 b=4.4247 c=7.4984 alpha=90.00 beta=90.00 gamma=90.00
Last column: nearest neighbours and their distance in Å.
Sites, in units of the cell vectors:
Si (0.5000, 0.5000, 0.7500)  8 Sr 3.34, 2 Si 3.68
Sr (0.0000, 0.0000, 0.5243)  4 Si 3.34, 3 Sr 3.39-3.68, 4 Pb 3.54
Sr (0.0000, 0.0000, 0.9757)  4 Si 3.34, 3 Sr 3.39-3.68, 4 Pb 3.54
Pb (0.5000, 0.5000, 0.2500)  8 Sr 3.54, 2 Pb 3.68, 2 Si 3.75

=====

First-principles (PBE-GGA) data for crystalline Sr2SiPb at its relaxed geometry, as listed in Alexandria.

SG: R-3m (166)
Volume (Å³ per atom): 34.22
DOS(E_F) (states/eV/atom): 0.90
E above lowest polymorph (meV/atom): 267
E (eV/f.u.): -13.2
Formation energy without anion corrections (eV/atom): -0.168

Unit cell a=10.1618 b=10.1618 c=10.1618 alpha=22.68 beta=22.68 gamma=22.68
Last column: nearest neighbours and their distance in Å.
Sites, in units of the cell vectors:
Sr (0.4900, 0.4900, 0.4900)  3 Si 3.17
Sr (0.0100, 0.0100, 0.0100)  3 Si 3.17
Si (0.7500, 0.7500, 0.7500)  6 Sr 3.17
Pb (0.2500, 0.2500, 0.2500)  6 Sr 3.61, 6 Pb 4.00

=====

First-principles (PBE-GGA) data for crystalline Sr2SiPb2 at its relaxed geometry, as listed in Alexandria.

SG: I4/mmm (139)
Volume (Å³ per atom): 40.09
DOS(E_F) (states/eV/atom): 1.31
E above lowest polymorph (meV/atom): 661
E (eV/f.u.): -14.1
Formation energy without anion corrections (eV/atom): 0.424

Unit cell a=5.6508 b=5.6508 c=7.4410 alpha=67.68 beta=67.68 gamma=90.00
Last column: nearest neighbours and their distance in Å.
Sites, in units of the cell vectors:
Pb (0.3898, 0.3898, 0.2205)  1 Pb 2.77
Pb (0.6102, 0.6102, 0.7795)  1 Pb 2.77
Sr (0.2500, 0.7500, 0.5000)  4 Pb 3.33
Sr (0.7500, 0.2500, 0.5000)  4 Pb 3.33
Si (0.0000, 0.0000, 0.0000)  8 Sr 4.22, 8 Pb 4.23

=====

First-principles (PBE-GGA) data for crystalline SrSi2Pb at its relaxed geometry, as listed in Alexandria.

SG: P4/mmm (123)
Volume (Å³ per atom): 26.20
DOS(E_F) (states/eV/atom): 0.40
E (eV/f.u.): -16.0
Formation energy without anion corrections (eV/atom): 0.050

Unit cell a=3.9840 b=3.9840 c=6.6025 alpha=90.00 beta=90.00 gamma=90.00
Last column: nearest neighbours and their distance in Å.
Sites, in units of the cell vectors:
Sr (0.5000, 0.5000, 0.2500)  2 Pb 3.30, 8 Si 3.51
Pb (0.5000, 0.5000, 0.7500)  8 Si 3.07, 2 Sr 3.30
Si (0.0000, 0.0000, 0.5669)  1 Si 2.42
Si (0.0000, 0.0000, 0.9331)  1 Si 2.42

=====

First-principles (PBE-GGA) data for crystalline Sr2SiPb at its relaxed geometry, as listed in Alexandria.

SG: C2/m (12)
Volume (Å³ per atom): 33.88
DOS(E_F) (states/eV/atom): 0.55
E above lowest polymorph (meV/atom): 294
E (eV/f.u.): -13.1
Formation energy without anion corrections (eV/atom): -0.140

Unit cell a=5.3679 b=5.3679 c=7.1210 alpha=78.55 beta=78.55 gamma=42.53
Last column: nearest neighbours and their distance in Å.
Sites, in units of the cell vectors:
Si (0.2500, 0.2500, 0.2500)  6 Sr 3.25-3.36
Sr (0.5104, 0.5104, 0.4805)  3 Si 3.25-3.36, 3 Pb 3.37-3.48
Sr (0.9896, 0.9896, 0.0195)  3 Si 3.25-3.36, 3 Pb 3.37-3.48
Pb (0.7500, 0.7500, 0.7500)  6 Sr 3.37-3.48

=====

First-principles (PBE-GGA) data for crystalline Sr2SiPb at its relaxed geometry, as listed in Alexandria.

SG: F-43m (216)
Volume (Å³ per atom): 31.63
DOS(E_F) (states/eV/atom): 0.80
E above lowest polymorph (meV/atom): 509
E (eV/f.u.): -12.2
Formation energy without anion corrections (eV/atom): 0.074

Unit cell a=5.6349 b=5.6349 c=5.6349 alpha=60.00 beta=60.00 gamma=60.00
Last column: nearest neighbours and their distance in Å.
Sites, in units of the cell vectors:
Sr (0.2500, 0.2500, 0.2500)  4 Sr 3.45, 4 Pb 3.45
Sr (0.0000, 0.0000, 0.0000)  4 Si 3.45, 4 Sr 3.45
Si (0.7500, 0.7500, 0.7500)  4 Pb 3.45, 4 Sr 3.45
Pb (0.5000, 0.5000, 0.5000)  4 Sr 3.45, 4 Si 3.45